Entry 1:
The following is a DFT calculation (PBE-GGA) of crystalline CuPd3Pb at its relaxed geometry.

Cell and atoms, written as extended XYZ:
```
5
Lattice="-2.589 -3.869 1.963 3.634 -3.183 -1.480 2.371 0.653 4.414" Properties=species:S:1:pos:R:3 pbc="T T T"
Pb 0.000 0.000 0.000
Cu 1.708 -3.200 2.448
Pd 1.817 -1.592 -0.740
Pd 1.185 0.327 2.207
Pd -1.295 -1.935 0.982
```

Space group: Pm-3m (221)
E: -18.41 eV per formula unit
Energy above the lowest structure with this stoichiometry: 101.9 kJ/mol of atoms
DFT formation energy: 0.995 eV per atom

=====

Entry 2:
The following is a DFT calculation (PBE-GGA) of crystalline Er6TmSc2 at its relaxed geometry.

Cell and atoms, written as extended XYZ:
```
9
Lattice="-0.637 -1.061 -3.313 0.122 -9.094 2.888 -7.685 -4.788 3.010" Properties=species:S:1:pos:R:3 pbc="T T T"
Er -1.104 -5.461 1.960
Er -4.218 -11.069 0.579
Er -7.096 -9.482 0.624
Er -2.681 -8.254 1.270
Er -3.982 -3.874 2.005
Er -5.519 -6.689 1.314
Tm 0.000 0.000 0.000
Sc -1.725 -3.112 -0.560
Sc -6.475 -11.831 3.145
```

Space group: Cmmm (65)
E: -43.12 eV per formula unit
Energy above the lowest structure with this stoichiometry: 3.8 kJ/mol of atoms
DFT formation energy: 0.155 eV per atom

=====

Entry 3:
The following is a DFT calculation (PBE-GGA) of crystalline SbBr2O at its relaxed geometry.

Cell and atoms, written as extended XYZ:
```
8
Lattice="10.455 0.000 0.000 0.000 10.455 0.000 5.227 5.227 1.999" Properties=species:S:1:pos:R:3 pbc="T T T"
Sb 0.000 0.000 0.000
Sb 10.455 5.227 0.999
O 5.227 5.227 0.000
O 5.227 10.455 0.999
Br 9.481 2.614 0.500
Br 11.429 7.841 0.500
Br 7.841 6.202 1.499
Br 13.068 4.253 1.499
```

Space group: I-42d (122)
E: -14.51 eV per formula unit
Formation energy (no corrections): -520 meV/atom
Energy above the lowest structure with this stoichiometry: 0.0 kJ/mol of atoms

=====

Entry 4:
The following is a DFT calculation (PBE-GGA) of crystalline LaPr2Y at its relaxed geometry.

Cell and atoms, written as extended XYZ:
```
4
Lattice="5.870 0.000 0.000 2.935 5.084 0.000 2.935 1.695 4.793" Properties=species:S:1:pos:R:3 pbc="T T T"
Pr 2.935 1.695 1.198
Pr 8.805 5.084 3.595
Y 0.000 0.000 0.000
La 5.870 3.389 2.397
```

Space group: Fm-3m (225)
E: -20.41 eV per formula unit
Energy above the lowest structure with this stoichiometry: 11.9 kJ/mol of atoms
DFT formation energy: 0.135 eV per atom

=====

Entry 5:
The following is a DFT calculation (PBE-GGA) of crystalline HfMg2MnP at its relaxed geometry.

Cell and atoms, written as extended XYZ:
```
5
Lattice="-0.169 -4.515 -1.476 0.090 -1.301 3.969 -4.749 0.129 0.150" Properties=species:S:1:pos:R:3 pbc="T T T"
P 0.045 -0.651 1.984
Mg -2.374 0.064 0.075
Mg -0.084 -2.257 -0.738
Mn 0.000 0.000 0.000
Hf -2.414 -2.844 1.321
```

Space group: P4/mmm (123)
E: -25.58 eV per formula unit
DFT formation energy: 0.429 eV per atom

=====

Entry 6:
The following is a DFT calculation (PBE-GGA) of crystalline SrSc2Be at its relaxed geometry.

Cell and atoms, written as extended XYZ:
```
4
Lattice="6.422 0.001 0.001 -3.284 5.518 0.001 0.800 1.407 2.858" Properties=species:S:1:pos:R:3 pbc="T T T"
Sc 0.000 0.000 0.000
Sc 1.569 2.760 0.001
Sr 3.611 0.704 1.429
Be -1.242 3.463 1.429
```

Space group: C2/m (12)
E: -15.67 eV per formula unit
DFT formation energy: 0.600 eV per atom

=====

Look up the E of the fourth one.
-20.41 eV per formula unit

=====

The lowest E belongs to which entry?
Er6TmSc2

=====

What did the third record say?
The following is a DFT calculation (PBE-GGA) of crystalline SbBr2O at its relaxed geometry.

Cell and atoms, written as extended XYZ:
```
8
Lattice="10.455 0.000 0.000 0.000 10.455 0.000 5.227 5.227 1.999" Properties=species:S:1:pos:R:3 pbc="T T T"
Sb 0.000 0.000 0.000
Sb 10.455 5.227 0.999
O 5.227 5.227 0.000
O 5.227 10.455 0.999
Br 9.481 2.614 0.500
Br 11.429 7.841 0.500
Br 7.841 6.202 1.499
Br 13.068 4.253 1.499
```

Space group: I-42d (122)
E: -14.51 eV per formula unit
Formation energy (no corrections): -520 meV/atom
Energy above the lowest structure with this stoichiometry: 0.0 kJ/mol of atoms

=====

Repeat the fifth record exactly.
The following is a DFT calculation (PBE-GGA) of crystalline HfMg2MnP at its relaxed geometry.

Cell and atoms, written as extended XYZ:
```
5
Lattice="-0.169 -4.515 -1.476 0.090 -1.301 3.969 -4.749 0.129 0.150" Properties=species:S:1:pos:R:3 pbc="T T T"
P 0.045 -0.651 1.984
Mg -2.374 0.064 0.075
Mg -0.084 -2.257 -0.738
Mn 0.000 0.000 0.000
Hf -2.414 -2.844 1.321
```

Space group: P4/mmm (123)
E: -25.58 eV per formula unit
DFT formation energy: 0.429 eV per atom